[1]
First-principles (PBE) data for a relaxed CsAl3In crystal, as listed in the Alexandria database.

```
data_CsAl3In
_chemical_formula_sum 'Cs1 Al3 In1'
_cell_length_a 6.009
_cell_length_b 6.009
_cell_length_c 6.009
_cell_angle_alpha 90.00
_cell_angle_beta 90.00
_cell_angle_gamma 90.00
_symmetry_space_group_name_H-M 'P m -3 m'
_symmetry_Int_Tables_number 221
_symmetry_space_group_name_Hall '-P 4 2 3'
loop_
_atom_site_label
_atom_site_fract_x
_atom_site_fract_y
_atom_site_fract_z
_atom_site_occupancy
Cs1 0.000 0.000 0.000 1
Al1 0.000 0.000 0.500 1
In1 0.500 0.500 0.500 1
```

Summary:
- electronic total energy (eV/atom) = -1.353
- ΔH_f (0 K) (eV per formula unit) = 8.053
- N(E_F) (states/eV/cell) = 6.416

---

[2]
First-principles (PBE) data for a relaxed PuMg5Rh6 crystal, as listed in the Alexandria database.

```
data_PuMg5Rh6
_chemical_formula_sum 'Pu2 Mg10 Rh12'
_cell_length_a 4.482
_cell_length_b 13.392
_cell_length_c 6.370
_cell_angle_alpha 90.00
_cell_angle_beta 90.00
_cell_angle_gamma 90.00
_symmetry_space_group_name_H-M 'C m m m'
_symmetry_Int_Tables_number 65
_symmetry_space_group_name_Hall '-C 2 2'
loop_
_atom_site_label
_atom_site_fract_x
_atom_site_fract_y
_atom_site_fract_z
_atom_site_occupancy
Pu1 0.000 0.000 0.000 1
Mg1 0.000 0.000 0.500 1
Mg2 0.000 0.327 0.000 1
Mg3 0.000 0.332 0.500 1
Rh1 0.000 0.164 0.249 1
Rh2 0.000 0.500 0.251 1
```

Summary:
- electronic total energy (eV/atom) = -6.072
- ΔH_f (0 K) (eV per formula unit) = -6.453
- N(E_F) (states/eV/cell) = 24.220

---

[3]
First-principles (PBE) data for a relaxed IrBr crystal, as listed in the Alexandria database.

```
data_IrBr
_chemical_formula_sum 'Ir6 Br6'
_cell_length_a 14.977
_cell_length_b 3.537
_cell_length_c 7.965
_cell_angle_alpha 90.00
_cell_angle_beta 118.86
_cell_angle_gamma 90.00
_symmetry_space_group_name_H-M 'C 1 m 1'
_symmetry_Int_Tables_number 8
_symmetry_space_group_name_Hall 'C -2y'
loop_
_atom_site_label
_atom_site_fract_x
_atom_site_fract_y
_atom_site_fract_z
_atom_site_occupancy
Ir1 0.000 0.000 0.000 1
Ir2 0.046 0.500 0.825 1
Ir3 0.137 0.500 0.170 1
Br1 0.031 0.000 0.591 1
Br2 0.243 0.000 0.403 1
Br3 0.374 0.000 0.003 1
```

Summary:
- electronic total energy (eV/atom) = -4.867
- N(E_F) (states/eV/cell) = 6.913
- raw formation energy (meV per atom) = 400